# 1
Here is an optimized crystal structure of InPb4Cl from Alexandria. Energies are from PBE-GGA.

a b c (Å): 6.516 6.516 6.516
angles (deg): 60.00 60.00 60.00
Element x y z (fractional)
In  0.000  0.000  0.000
Pb  0.876  0.375  0.375
Pb  0.375  0.375  0.876
Pb  0.375  0.876  0.375
Pb  0.375  0.375  0.375
Cl  0.750  0.750  0.750

Results
**Magnetic moment**: 0.0 Bohr magnetons per cell
**E_tot**: -0.236 Ry/atom

=====

# 2
Here is an optimized crystal structure of PuCu2AgO6 from Alexandria. Energies are from PBE-GGA.

a b c (Å): 6.399 7.221 7.221
angles (deg): 76.96 71.98 71.98
Site moments in Bohr magnetons follow the coordinates.
Element x y z (fractional)
Pu  0.250  0.260  0.740  -1.87
Pu  0.750  0.740  0.260  -1.87
Cu  0.376  0.756  0.632  0.32
Cu  0.124  0.368  0.244  0.32
Cu  0.624  0.244  0.368  0.32
Cu  0.876  0.632  0.756  0.32
Ag  0.250  0.900  0.100  0.00
Ag  0.750  0.100  0.900  0.00
O  0.238  0.968  0.783  0.09
O  0.262  0.217  0.032  0.09
O  0.762  0.032  0.217  0.09
O  0.738  0.783  0.968  0.09
O  0.407  0.805  0.345  0.12
O  0.093  0.655  0.195  0.12
O  0.593  0.195  0.655  0.12
O  0.907  0.345  0.805  0.12
O  0.209  0.561  0.717  0.16
O  0.291  0.283  0.439  0.16
O  0.791  0.439  0.283  0.16
O  0.709  0.717  0.561  0.16

Results
**Magnetic moment**: 0.8 Bohr magnetons per cell
**E_tot**: -0.490 Ry/atom

=====

# 3
Here is an optimized crystal structure of Pu2NpSi2Ru5 from Alexandria. Energies are from PBE-GGA.

a b c (Å): 3.437 9.973 9.973
angles (deg): 90.00 90.00 90.00
Site moments in Bohr magnetons follow the coordinates.
Element x y z (fractional)
Pu  0.000  0.674  0.174  4.95
Pu  0.000  0.326  0.826  4.95
Pu  0.000  0.174  0.326  4.95
Pu  0.000  0.826  0.674  4.95
Np  0.000  0.000  0.000  2.95
Np  0.000  0.500  0.500  2.95
Si  0.000  0.124  0.624  0.01
Si  0.000  0.876  0.376  0.01
Si  0.000  0.624  0.876  0.01
Si  0.000  0.376  0.124  0.01
Ru  0.500  0.212  0.070  -0.37
Ru  0.500  0.788  0.930  -0.37
Ru  0.500  0.070  0.788  -0.37
Ru  0.500  0.712  0.430  -0.37
Ru  0.500  0.930  0.212  -0.37
Ru  0.500  0.288  0.570  -0.37
Ru  0.500  0.570  0.712  -0.37
Ru  0.500  0.430  0.288  -0.37
Ru  0.500  0.500  0.000  -0.32
Ru  0.500  0.000  0.500  -0.32

Results
**Magnetic moment**: 23.2 Bohr magnetons per cell
**E_tot**: -0.755 Ry/atom

=====

# 4
Here is an optimized crystal structure of Tl2CoSi from Alexandria. Energies are from PBE-GGA.

a b c (Å): 4.033 5.097 3.963
angles (deg): 90.00 90.00 90.00
Site moments in Bohr magnetons follow the coordinates.
Element x y z (fractional)
Co  0.500  0.000  0.500  1.32
Si  0.000  0.500  0.500  -0.01
Tl  0.000  0.000  0.000  -0.02
Tl  0.500  0.500  0.000  0.00

Results
**Energy above the lowest structure with this stoichiometry**: 615.1 meV per atom
**Magnetic moment**: 1.2 Bohr magnetons per cell
**E_tot**: -0.261 Ry/atom

=====

# 5
Here is an optimized crystal structure of SrCa2Al2Ga2 from Alexandria. Energies are from PBE-GGA.

a b c (Å): 4.543 4.543 10.654
angles (deg): 77.69 77.69 60.00
Element x y z (fractional)
Sr  0.000  0.000  0.000
Ca  0.130  0.130  0.610
Ca  0.870  0.870  0.390
Al  0.593  0.593  0.220
Al  0.407  0.407  0.780
Ga  0.745  0.745  0.764
Ga  0.255  0.255  0.236

Results
**Calculated formation energy**: -0.309 eV per atom
**Magnetic moment**: 0.0 Bohr magnetons per cell
**E_tot**: -0.225 Ry/atom

=====

# 6
Here is an optimized crystal structure of AcCo2Sn4 from Alexandria. Energies are from PBE-GGA.

a b c (Å): 4.489 7.223 18.802
angles (deg): 90.00 90.00 90.00
Element x y z (fractional)
Ac  0.750  0.005  0.640
Ac  0.250  0.995  0.360
Ac  0.250  0.505  0.860
Ac  0.750  0.495  0.140
Co  0.250  0.745  0.535
Co  0.750  0.255  0.465
Co  0.750  0.245  0.965
Co  0.250  0.755  0.035
Co  0.250  0.986  0.788
Co  0.750  0.014  0.212
Co  0.750  0.486  0.712
Co  0.250  0.514  0.288
Sn  0.250  0.285  0.701
Sn  0.750  0.715  0.299
Sn  0.750  0.785  0.799
Sn  0.250  0.215  0.201
Sn  0.250  0.689  0.680
Sn  0.750  0.311  0.320
Sn  0.750  0.189  0.820
Sn  0.250  0.811  0.180
Sn  0.250  0.148  0.526
Sn  0.750  0.852  0.474
Sn  0.750  0.648  0.974
Sn  0.250  0.352  0.026
Sn  0.250  0.494  0.430
Sn  0.750  0.506  0.570
Sn  0.750  0.994  0.070
Sn  0.250  0.006  0.930

Results
**Calculated formation energy**: -0.255 eV per atom
**Magnetic moment**: 0.0 Bohr magnetons per cell
**E_tot**: -0.379 Ry/atom

=====

# 7
Here is an optimized crystal structure of NiAs2W from Alexandria. Energies are from PBE-GGA.

a b c (Å): 5.068 5.068 2.946
angles (deg): 72.87 72.87 107.47
Element x y z (fractional)
As  0.000  0.000  0.000
As  0.500  0.500  0.000
Ni  0.500  0.000  0.500
W  0.000  0.500  0.500

Results
**Energy above the lowest structure with this stoichiometry**: 359.3 meV per atom
**Calculated formation energy**: 0.397 eV per atom
**Magnetic moment**: 0.0 Bohr magnetons per cell
**E_tot**: -0.486 Ry/atom

=====

# 8
Here is an optimized crystal structure of NaTl3Pd from Alexandria. Energies are from PBE-GGA.

a b c (Å): 5.986 5.986 10.141
angles (deg): 107.17 107.17 90.00
Element x y z (fractional)
Na  0.549  0.049  0.099
Na  0.951  0.451  0.901
Tl  0.128  0.877  0.754
Tl  0.123  0.373  0.246
Tl  0.123  0.872  0.246
Tl  0.627  0.877  0.754
Tl  0.295  0.295  0.589
Tl  0.705  0.705  0.411
Pd  0.000  0.000  0.000
Pd  0.250  0.750  0.500

Results
**Energy above the lowest structure with this stoichiometry**: 129.5 meV per atom
**Calculated formation energy**: 0.009 eV per atom
**Magnetic moment**: 0.0 Bohr magnetons per cell
**E_tot**: -0.199 Ry/atom

=====

# 9
Here is an optimized crystal structure of Dy2CuF8 from Alexandria. Energies are from PBE-GGA.

a b c (Å): 4.618 5.920 5.920
angles (deg): 73.85 103.55 103.55
Site moments in Bohr magnetons follow the coordinates.
Element x y z (fractional)
Dy  0.613  0.323  0.323  0.01
Dy  0.387  0.677  0.677  0.01
Cu  0.000  0.000  0.000  0.75
F  0.728  0.041  0.653  0.03
F  0.272  0.347  0.959  0.03
F  0.761  0.128  0.128  0.06
F  0.239  0.872  0.872  0.06
F  0.728  0.653  0.041  0.03
F  0.272  0.959  0.347  0.03
F  0.208  0.423  0.423  0.00
F  0.792  0.577  0.577  0.00

Results
**Energy above the lowest structure with this stoichiometry**: 0.0 meV per atom
**Magnetic moment**: 1.0 Bohr magnetons per cell
**E_tot**: -0.439 Ry/atom

=====

# 10
Here is an optimized crystal structure of FeAgTePd from Alexandria. Energies are from PBE-GGA.

a b c (Å): 3.284 4.751 5.608
angles (deg): 89.16 107.05 110.33
Site moments in Bohr magnetons follow the coordinates.
Element x y z (fractional)
Te  0.204  0.548  0.306  -0.03
Pd  0.637  0.166  0.554  0.09
Ag  0.059  0.769  0.796  0.04
Fe  0.422  0.339  0.954  2.82

Results
**Energy above the lowest structure with this stoichiometry**: 67.3 meV per atom
**Magnetic moment**: 2.9 Bohr magnetons per cell
**E_tot**: -0.346 Ry/atom

=====

# 11
Here is an optimized crystal structure of Pr8Ir3Br4O from Alexandria. Energies are from PBE-GGA.

a b c (Å): 8.212 9.151 8.228
angles (deg): 116.81 119.94 90.00
Element x y z (fractional)
Pr  0.224  0.690  0.966
Pr  0.227  0.692  0.454
Pr  0.267  0.303  0.535
Pr  0.743  0.690  0.966
Pr  0.257  0.310  0.034
Pr  0.733  0.697  0.465
Pr  0.773  0.308  0.546
Pr  0.776  0.310  0.034
Ir  0.500  0.500  0.000
Ir  0.500  0.500  0.500
Ir  0.000  0.500  0.500
Br  0.500  0.000  0.000
Br  0.500  0.000  0.500
Br  0.000  0.000  0.000
Br  0.000  0.000  0.500
O  0.000  0.500  0.000

Results
**Magnetic moment**: 0.0 Bohr magnetons per cell
**E_tot**: -0.443 Ry/atom

=====

# 12
Here is an optimized crystal structure of PaTcPd from Alexandria. Energies are from PBE-GGA.

a b c (Å): 3.509 3.509 5.257
angles (deg): 109.49 109.49 90.00
Element x y z (fractional)
Pa  0.643  0.643  0.286
Tc  0.024  0.024  0.048
Pd  0.333  0.333  0.665

Results
**Energy above the lowest structure with this stoichiometry**: 140.3 meV per atom
**Calculated formation energy**: -0.231 eV per atom
**Magnetic moment**: 0.0 Bohr magnetons per cell
**E_tot**: -0.631 Ry/atom